# 1
A plane-wave DFT calculation with PBE was carried out for PuRuPb after structural relaxation.

Cell: 3.3133 3.3133 6.4726 Å, 104.83 104.83 90.00°
Element x y z (fractional)
Pu: 0.3095 0.3095 0.6191
Ru: 0.6680 0.6680 0.3361
Pb: 0.0224 0.0224 0.0449

* E: -9.06 eV/atom
* DOS at the Fermi energy: 8.84 states/eV/cell


# 2
A plane-wave DFT calculation with PBE was carried out for PuRuPb after structural relaxation.

Cell: 5.1244 8.5652 8.4788 Å, 50.34 91.72 94.78°
Element x y z (fractional)
Pb: 0.7326 0.8283 0.6202
Pu: 0.2413 0.9419 0.1670
Pb: 0.2435 0.7268 0.9209
Ru: 0.3521 0.5338 0.3397
Pu: 0.1708 0.5168 0.6808
Ru: 0.7373 0.8418 0.2657
Pb: 0.2674 0.1717 0.3798
Ru: 0.6479 0.4662 0.6603
Ru: 0.2627 0.1582 0.7343
Pu: 0.8292 0.4832 0.3192
Pb: 0.7565 0.2732 0.0791
Pu: 0.7587 0.0581 0.8330

* E: -9.15 eV/atom
* DOS at the Fermi energy: 26.73 states/eV/cell


# 3
A plane-wave DFT calculation with PBE was carried out for YPuRuPb after structural relaxation.

Cell: 3.3467 3.3467 8.6306 Å, 90.00 90.00 90.00°
Element x y z (fractional)
Y: 0.5000 0.5000 0.7733
Pb: 0.0000 0.0000 0.0703
Pu: 0.5000 0.5000 0.3726
Ru: 0.0000 0.0000 0.5684

* E: -8.73 eV/atom
* DOS at the Fermi energy: 8.66 states/eV/cell


# 4
A plane-wave DFT calculation with PBE was carried out for Pu3Pb4S8 after structural relaxation.

Cell: 8.2343 8.2917 8.2917 Å, 89.77 120.21 120.21°
Element x y z (fractional)
S: 0.4923 0.7358 0.7358
S: 0.0000 0.7475 0.2525
Pu: 0.5000 0.5000 0.5000
Pu: 0.5000 0.5000 0.0000
Pb: 0.5000 0.0000 0.0000
S: 0.5000 0.7418 0.2582
S: 0.9776 0.7381 0.7381
Pb: 0.0000 0.0000 0.5000
S: 0.5000 0.2582 0.7418
S: 0.5077 0.2642 0.2642
S: 0.0224 0.2619 0.2619
S: 0.0000 0.2525 0.7475
Pu: 0.5000 0.0000 0.5000
Pb: 0.0000 0.0000 0.0000
Pb: 0.0000 0.5000 0.0000

* E_form (uncorrected): -14.352 eV per formula unit
* DOS at the Fermi energy: 45.48 states/eV/cell


# 5
A plane-wave DFT calculation with PBE was carried out for PuPbS2 after structural relaxation.

Cell: 3.9575 3.9575 7.7437 Å, 75.20 75.20 60.00°
Element x y z (fractional)
Pb: 0.6657 0.6657 0.0029
Pu: 0.4985 0.4985 0.5045
S: 0.2446 0.2446 0.2662
S: 0.0912 0.0912 0.7264

* E_form (uncorrected): -3.964 eV per formula unit
* DOS at the Fermi energy: 8.68 states/eV/cell


# 6
A plane-wave DFT calculation with PBE was carried out for Pu4Pb2S after structural relaxation.

Cell: 5.1616 5.1616 8.9969 Å, 106.67 106.67 90.00°
Element x y z (fractional)
Pu: 0.8287 0.8287 0.6574
S: 0.0000 0.0000 0.0000
Pb: 0.6323 0.6323 0.2646
Pu: 0.5000 0.0000 0.0000
Pu: 0.1713 0.1713 0.3426
Pb: 0.3677 0.3677 0.7354
Pu: 0.0000 0.5000 0.0000

* E_form (uncorrected): -2.165 eV per formula unit
* DOS at the Fermi energy: 41.98 states/eV/cell


# 7
A plane-wave DFT calculation with PBE was carried out for Pu3Pb5S12 after structural relaxation.

Cell: 14.1310 14.1310 14.1310 Å, 109.47 109.47 109.47°
Element x y z (fractional)
S: 0.4402 0.7704 0.8556
S: 0.7296 0.1444 0.0598
Pb: 0.0000 0.0000 0.5000
Pb: 0.6250 0.7500 0.8750
Pu: 0.8750 0.1250 0.2500
S: 0.5598 0.3302 0.9155
S: 0.3556 0.4155 0.0852
S: 0.9148 0.0845 0.6444
Pb: 0.3750 0.1250 0.7500
Pb: 0.5000 0.0000 0.0000
Pu: 0.6250 0.3750 0.7500
S: 0.9148 0.8302 0.7704
Pb: 0.2500 0.3750 0.6250
S: 0.4402 0.6698 0.0845
S: 0.7296 0.5852 0.1698
S: 0.6444 0.5845 0.9148
Pb: 0.5000 0.5000 0.0000
S: 0.8556 0.5852 0.9155
S: 0.2704 0.8556 0.9402
S: 0.8302 0.9155 0.0598
S: 0.6444 0.0598 0.2296
Pu: 0.8750 0.7500 0.1250
S: 0.5845 0.9402 0.6698
Pb: 0.0000 0.5000 0.0000
S: 0.9155 0.0852 0.8556
S: 0.3302 0.5598 0.4155
S: 0.0845 0.1698 0.4402
S: 0.7704 0.4402 0.3556
S: 0.4155 0.0598 0.3302
S: 0.2296 0.5598 0.6444
Pb: 0.5000 0.0000 0.5000
S: 0.6698 0.4402 0.5845
Pb: 0.0000 0.0000 0.0000
S: 0.6698 0.2296 0.5852
Pu: 0.3750 0.7500 0.6250
S: 0.5598 0.2296 0.1444
Pb: 0.1250 0.3750 0.2500
Pu: 0.6250 0.2500 0.3750
S: 0.3556 0.9402 0.7704
S: 0.9155 0.8302 0.5598
S: 0.4148 0.1444 0.5845
S: 0.2296 0.6698 0.0852
S: 0.3302 0.7704 0.4148
S: 0.0598 0.4155 0.8302
S: 0.8556 0.2704 0.4402
S: 0.1444 0.4148 0.0845
Pu: 0.7500 0.3750 0.1250
S: 0.0598 0.6444 0.7296
Pb: 0.5000 0.5000 0.5000
S: 0.1698 0.0852 0.7296
S: 0.4148 0.2704 0.3302
S: 0.5852 0.8556 0.4155
Pb: 0.0000 0.5000 0.5000
S: 0.9402 0.3556 0.2704
Pb: 0.7500 0.1250 0.8750
S: 0.9402 0.5845 0.1698
Pb: 0.2500 0.8750 0.1250
Pu: 0.2500 0.6250 0.8750
S: 0.5852 0.7296 0.6698
S: 0.1698 0.0845 0.9402
S: 0.5845 0.6444 0.4148
Pb: 0.8750 0.2500 0.6250
Pu: 0.1250 0.8750 0.7500
S: 0.8302 0.9148 0.2704
Pu: 0.7500 0.8750 0.6250
Pb: 0.1250 0.7500 0.3750
S: 0.0845 0.9148 0.1444
Pu: 0.2500 0.1250 0.3750
Pb: 0.7500 0.6250 0.3750
S: 0.2704 0.4148 0.8302
Pb: 0.3750 0.2500 0.1250
Pb: 0.6250 0.8750 0.2500
Pu: 0.3750 0.6250 0.2500
S: 0.4155 0.3556 0.5852
S: 0.0852 0.1698 0.2296
Pb: 0.8750 0.6250 0.7500
S: 0.0852 0.9155 0.3556
S: 0.1444 0.7296 0.5598
Pu: 0.1250 0.2500 0.8750
S: 0.7704 0.3302 0.9148

* E_form (uncorrected): -13.403 eV per formula unit
* DOS at the Fermi energy: 111.32 states/eV/cell


# 8
A plane-wave DFT calculation with PBE was carried out for PuPbS after structural relaxation.

Cell: 3.8704 3.8704 10.6250 Å, 90.00 90.00 90.00°
Element x y z (fractional)
S: 0.0000 0.5000 0.8874
Pb: 0.0000 0.5000 0.5973
Pb: 0.5000 0.0000 0.4027
Pu: 0.5000 0.0000 0.8525
S: 0.5000 0.0000 0.1126
Pu: 0.0000 0.5000 0.1475

* E_form (uncorrected): -2.918 eV per formula unit
* DOS at the Fermi energy: 18.03 states/eV/cell


# 9
A plane-wave DFT calculation with PBE was carried out for PuPb3S6 after structural relaxation.

Cell: 4.0548 11.6694 12.2105 Å, 104.39 90.00 90.00°
Element x y z (fractional)
Pb: 0.7500 0.4435 0.8393
S: 0.7500 0.4660 0.6166
Pb: 0.2500 0.3430 0.4789
S: 0.2500 0.1982 0.7093
S: 0.2500 0.0907 0.8202
S: 0.7500 0.8018 0.2907
S: 0.7500 0.9093 0.1798
S: 0.2500 0.8930 0.5336
Pb: 0.7500 0.6570 0.5211
Pu: 0.2500 0.9803 0.3448
S: 0.2500 0.1688 0.2366
S: 0.2500 0.5340 0.3834
Pb: 0.7500 0.1675 0.0875
Pb: 0.2500 0.8325 0.9125
S: 0.2500 0.6020 0.9166
Pu: 0.7500 0.0197 0.6552
S: 0.7500 0.3980 0.0834
S: 0.7500 0.1070 0.4664
Pb: 0.2500 0.5565 0.1607
S: 0.7500 0.8312 0.7634

* E_form (uncorrected): -6.946 eV per formula unit
* DOS at the Fermi energy: 12.77 states/eV/cell


# 10
A plane-wave DFT calculation with PBE was carried out for Pu2PbS6 after structural relaxation.

Cell: 6.3380 6.3380 12.3133 Å, 90.00 90.00 90.00°
Element x y z (fractional)
S: 0.1794 0.8206 0.5000
Pb: 0.5000 0.5000 0.5000
S: 0.2060 0.7940 0.8165
S: 0.3206 0.3206 0.0000
S: 0.2060 0.7940 0.1835
S: 0.8206 0.1794 0.5000
S: 0.7940 0.2060 0.8165
S: 0.2940 0.2940 0.6835
Pu: 0.5000 0.5000 0.1668
Pu: 0.5000 0.5000 0.8332
Pu: 0.0000 0.0000 0.3332
S: 0.7940 0.2060 0.1835
S: 0.7060 0.7060 0.3165
Pu: 0.0000 0.0000 0.6668
S: 0.6794 0.6794 0.0000
Pb: 0.0000 0.0000 0.0000
S: 0.2940 0.2940 0.3165
S: 0.7060 0.7060 0.6835

* E_form (uncorrected): -7.855 eV per formula unit
* DOS at the Fermi energy: 33.98 states/eV/cell


# 11
A plane-wave DFT calculation with PBE was carried out for PuPb2S3 after structural relaxation.

Cell: 5.8820 8.2964 7.3513 Å, 106.38 113.58 90.00°
Element x y z (fractional)
S: 0.5000 0.2500 0.0000
Pb: 0.6664 0.0833 0.3335
Pu: 0.0000 0.7500 0.0000
Pb: 0.6672 0.5833 0.3335
Pu: 0.0000 0.2500 0.0000
Pb: 0.3336 0.9167 0.6665
S: 0.5000 0.7500 0.0000
Pb: 0.3328 0.4167 0.6665
S: 0.8507 0.9252 0.7007
S: 0.8499 0.4252 0.7007
S: 0.1493 0.0748 0.2993
S: 0.1501 0.5748 0.2993

* E_form (uncorrected): -5.230 eV per formula unit
* DOS at the Fermi energy: 21.53 states/eV/cell


# 12
A plane-wave DFT calculation with PBE was carried out for Pu3PbS after structural relaxation.

Cell: 5.2860 5.2860 5.2860 Å, 90.00 90.00 90.00°
Element x y z (fractional)
Pb: 0.5000 0.5000 0.5000
Pu: 0.5000 0.0000 0.0000
Pu: 0.0000 0.0000 0.5000
Pu: 0.0000 0.5000 0.0000
S: 0.0000 0.0000 0.0000

* E_form (uncorrected): -2.409 eV per formula unit
* DOS at the Fermi energy: 27.53 states/eV/cell


no.,density (Mg/m³),calculated volume (Å³/atom)
1,13.84,22.08
2,12.85,23.78
3,11.01,24.17
4,7.57,26.57
5,8.53,25.09
6,10.78,31.30
7,6.58,27.15
8,10.08,26.53
9,6.28,27.98
10,5.96,27.48
11,8.01,26.07
12,10.92,29.54